First-principles (PBE) data for an optimized crystal structure of V5Co2ReRu2, as listed in Alexandria via LeMat-Bulk.

Cell: 9.2395 9.2395 3.1600 Å, 90.00 90.00 90.00°
Last column: nearest neighbours and their distance in Å.
Sites, in units of the cell vectors:
V 0.0000 0.5000 0.0000  4 Co 2.29
V 0.0709 0.2002 0.0000  2 Co 2.30, 2 Re 2.52
V 0.2002 0.9291 0.0000  2 Co 2.30, 2 Re 2.52
V 0.2998 0.4291 0.0000  2 Co 2.30, 2 Re 2.52
V 0.4291 0.7002 0.0000  2 Co 2.30, 2 Re 2.52
V 0.5000 0.0000 0.0000  4 Co 2.29
V 0.5709 0.2998 0.0000  2 Co 2.30, 2 Re 2.52
V 0.7002 0.5709 0.0000  2 Co 2.30, 2 Re 2.52
V 0.7998 0.0709 0.0000  2 Co 2.30, 2 Re 2.52
V 0.9291 0.7998 0.0000  2 Co 2.30, 2 Re 2.52
Co 0.1271 0.3729 0.5000  6 V 2.29-2.30
Co 0.3729 0.8729 0.5000  6 V 2.29-2.30
Co 0.6271 0.1271 0.5000  6 V 2.29-2.30
Co 0.8729 0.6271 0.5000  6 V 2.29-2.30
Re 0.0000 0.0000 0.5000  8 V 2.52
Re 0.5000 0.5000 0.5000  8 V 2.52
Ru 0.1690 0.6690 0.5000  3 Co 2.66-2.76, 10 V 2.72-2.98
Ru 0.3310 0.1690 0.5000  3 Co 2.66-2.76, 10 V 2.72-2.98
Ru 0.6690 0.8310 0.5000  3 Co 2.66-2.76, 10 V 2.72-2.98
Ru 0.8310 0.3310 0.5000  3 Co 2.66-2.76, 10 V 2.72-2.98

Properties
Formation energy ... 5.4 kJ per mole of atoms
Total DFT energy (no corrections) ... -9.02 eV per atom
Calculated volume ... 269.8 Å³/cell

First-principles (PBE) data for an optimized crystal structure of VCoRe2Ru, as listed in Alexandria via LeMat-Bulk.

Cell: 4.6093 4.6093 4.3889 Å, 90.00 90.00 90.00°
Last column: nearest neighbours and their distance in Å.
Sites, in units of the cell vectors:
V 0.0000 0.0000 0.0000  8 Re 3.18, 4 Co 3.26
Co 0.5000 0.5000 0.0000  2 Ru 2.19
Re 0.0000 0.5000 0.5000  2 Ru 2.30
Re 0.5000 0.0000 0.5000  2 Ru 2.30
Ru 0.5000 0.5000 0.5000  2 Co 2.19, 4 Re 2.30

Properties
Formation energy ... 192.4 kJ per mole of atoms
Total DFT energy (no corrections) ... -8.09 eV per atom
Calculated volume ... 93.2 Å³/cell

First-principles (PBE) data for an optimized crystal structure of ZnCoReRu, as listed in Alexandria via LeMat-Bulk.

Cell: 4.2445 4.2445 4.2445 Å, 60.00 60.00 60.00°
Last column: nearest neighbours and their distance in Å.
Sites, in units of the cell vectors:
Zn 0.0000 0.0000 0.0000  4 Co 2.60, 4 Ru 2.60
Co 0.7500 0.7500 0.7500  4 Re 2.60, 4 Zn 2.60
Re 0.5000 0.5000 0.5000  4 Co 2.60, 4 Ru 2.60
Ru 0.2500 0.2500 0.2500  4 Re 2.60, 4 Zn 2.60

Properties
Formation energy ... 12.4 kJ per mole of atoms
Total DFT energy (no corrections) ... -7.40 eV per atom
Calculated volume ... 54.1 Å³/cell

First-principles (PBE) data for an optimized crystal structure of CoReS3, as listed in Alexandria via LeMat-Bulk.

Cell: 4.6161 4.6161 4.6161 Å, 90.00 90.00 90.00°
Last column: nearest neighbours and their distance in Å.
Sites, in units of the cell vectors:
Co 0.0000 0.0000 0.0000  12 S 3.26
Re 0.5000 0.5000 0.5000  6 S 2.31
S 0.0000 0.5000 0.5000  2 Re 2.31
S 0.5000 0.0000 0.5000  2 Re 2.31
S 0.5000 0.5000 0.0000  2 Re 2.31

Properties
Total DFT energy (no corrections) ... -5.55 eV per atom
Distance to the lowest polymorph of the same formula ... 0 meV per atom
Formation energy without anion corrections ... 4.21 eV/f.u.
Calculated volume ... 98.4 Å³/cell

First-principles (PBE) data for an optimized crystal structure of CoRe2S, as listed in Alexandria via LeMat-Bulk.

Cell: 6.3618 6.3618 6.3618 Å, 130.94 130.94 71.91°
Last column: nearest neighbours and their distance in Å.
Sites, in units of the cell vectors:
Co 0.0000 0.0000 0.0000  4 Re 2.26
Co 0.7500 0.2500 0.5000  4 Re 2.26
Re 0.1217 0.6250 0.9967  2 Co 2.26, 2 S 2.28
Re 0.3750 0.3717 0.4967  2 Co 2.26, 2 S 2.28
Re 0.6283 0.1250 0.0033  2 Co 2.26, 2 S 2.28
Re 0.8750 0.8783 0.5033  2 Co 2.26, 2 S 2.28
S 0.2500 0.7500 0.5000  4 Re 2.28
S 0.5000 0.5000 0.0000  4 Re 2.28

Properties
Total DFT energy (no corrections) ... -8.15 eV per atom
Formation energy without anion corrections ... 3.51 eV/f.u.
Calculated volume ... 143.7 Å³/cell

First-principles (PBE) data for an optimized crystal structure of CoReS3, as listed in Alexandria via LeMat-Bulk.

Cell: 4.2750 4.2750 4.2750 Å, 90.00 90.00 90.00°
Last column: nearest neighbours and their distance in Å.
Sites, in units of the cell vectors:
Co 0.0000 0.0000 0.0000  6 S 2.14
Re 0.5000 0.5000 0.5000  12 S 3.02
S 0.0000 0.0000 0.5000  2 Co 2.14
S 0.0000 0.5000 0.0000  2 Co 2.14
S 0.5000 0.0000 0.0000  2 Co 2.14

Properties
Total DFT energy (no corrections) ... -5.33 eV per atom
Distance to the lowest polymorph of the same formula ... 212 meV per atom
Formation energy without anion corrections ... 5.27 eV/f.u.
Calculated volume ... 78.1 Å³/cell

First-principles (PBE) data for an optimized crystal structure of CoReSbS2, as listed in Alexandria via LeMat-Bulk.

Cell: 5.1305 5.1305 4.6977 Å, 90.00 90.00 90.00°
Last column: nearest neighbours and their distance in Å.
Sites, in units of the cell vectors:
Co 0.0000 0.0000 0.0000  2 Sb 2.35
Re 0.5000 0.5000 0.0000  8 S 3.48, 4 Co 3.63
Sb 0.0000 0.0000 0.5000  2 Co 2.35, 4 S 2.57
S 0.0000 0.5000 0.5000  2 Sb 2.57
S 0.5000 0.0000 0.5000  2 Sb 2.57

Properties
Total DFT energy (no corrections) ... -4.58 eV per atom
Formation energy without anion corrections ... 9.01 eV/f.u.
Calculated volume ... 123.7 Å³/cell

First-principles (PBE) data for an optimized crystal structure of CoRe2Sb, as listed in Alexandria via LeMat-Bulk.

Cell: 4.7932 4.7932 2.9577 Å, 90.00 90.00 114.51°
Last column: nearest neighbours and their distance in Å.
Sites, in units of the cell vectors:
Co 0.0000 0.0000 0.0000  2 Sb 2.59, 8 Re 2.82
Re 0.0000 0.5000 0.5000  2 Re 2.59, 4 Co 2.82, 4 Sb 2.82
Re 0.5000 0.0000 0.5000  2 Re 2.59, 4 Co 2.82, 4 Sb 2.82
Sb 0.5000 0.5000 0.0000  2 Co 2.59, 8 Re 2.82

Properties
Total DFT energy (no corrections) ... -8.39 eV per atom
Formation energy without anion corrections ... 2.55 eV/f.u.
Calculated volume ... 61.8 Å³/cell